Compound: BeHgPt3
Source: Alexandria via LeMat-Bulk
Functional: GGA-PBE
Structure: relaxed

a = 4.1247 Å, b = 7.0342 Å, c = 5.5626 Å
α = 90.00°, β = 90.00°, γ = 90.00°
Last column: nearest neighbours and their distance in Å.
Positions (direct):
1 Be 0.0000 0.0000 0.0000  4 Pt 2.17-2.22
2 Be 0.0000 0.5000 0.5000  4 Pt 2.17-2.22
3 Hg 0.5000 0.0000 0.3457  6 Pt 2.76-3.02, 2 Be 2.82
4 Hg 0.5000 0.5000 0.8457  6 Pt 2.76-3.02, 2 Be 2.82
5 Pt 0.0000 0.2112 0.6391  1 Be 2.17
6 Pt 0.0000 0.2888 0.1391  1 Be 2.17
7 Pt 0.0000 0.7112 0.1391  1 Be 2.17
8 Pt 0.0000 0.7888 0.6391  1 Be 2.17
9 Pt 0.5000 0.0000 0.8500  2 Be 2.22
10 Pt 0.5000 0.5000 0.3500  2 Be 2.22

Results
Energy of formation from the pure elements (eV per atom): -0.0978
Relative energy among the computed polymorphs (meV/atom): 206